1.
An optimized crystal structure of LiVTe2I. Source: the Alexandria database, functional PBE.

Results
* energy relative to the elements, uncorrected: 15.898 kcal/mol of atoms
* total energy: -3.084 eV per atom
* symmetry: No. 123

Cell: 6.184 6.184 5.032 Å, 90.00 90.00 90.00°
Fractional positions:
Li 0.000 0.000 0.000
V 0.500 0.500 0.000
Te 0.000 0.500 0.500
Te 0.500 0.000 0.500
I 0.500 0.500 0.500

=====

2.
An optimized crystal structure of LiVTe2I. Source: the Alexandria database, functional PBE.

Results
* energy relative to the elements, uncorrected: 10.084 kcal/mol of atoms
* total energy: -3.336 eV per atom
* symmetry: No. 123

Cell: 4.986 4.986 5.675 Å, 90.00 90.00 90.00°
Fractional positions:
Li 0.000 0.000 0.000
V 0.500 0.500 0.500
Te 0.000 0.500 0.000
Te 0.500 0.000 0.000
I 0.000 0.000 0.500

=====

3.
An optimized crystal structure of LiVTeI2. Source: the Alexandria database, functional PBE.

Results
* energy relative to the elements, uncorrected: 8.365 kcal/mol of atoms
* total energy: -3.092 eV per atom
* symmetry: No. 123

Cell: 5.327 5.327 5.280 Å, 90.00 90.00 90.00°
Fractional positions:
Li 0.000 0.000 0.000
V 0.500 0.500 0.500
Te 0.000 0.000 0.500
I 0.000 0.500 0.000
I 0.500 0.000 0.000

=====

4.
An optimized crystal structure of LiTe2WI. Source: the Alexandria database, functional PBE.

Results
* energy relative to the elements, uncorrected: 25.370 kcal/mol of atoms
* total energy: -3.440 eV per atom
* symmetry: No. 123

Cell: 5.019 5.019 5.243 Å, 90.00 90.00 90.00°
Fractional positions:
Li 0.000 0.000 0.000
Te 0.000 0.500 0.000
Te 0.500 0.000 0.000
W 0.500 0.500 0.500
I 0.000 0.000 0.500

=====

5.
An optimized crystal structure of LiTe2WI. Source: the Alexandria database, functional PBE.

Results
* energy relative to the elements, uncorrected: 6.690 kcal/mol of atoms
* total energy: -4.250 eV per atom
* symmetry: No. 123

Cell: 5.239 5.239 6.162 Å, 90.00 90.00 90.00°
Fractional positions:
Li 0.000 0.000 0.000
Te 0.000 0.500 0.500
Te 0.500 0.000 0.500
W 0.500 0.500 0.500
I 0.500 0.500 0.000

=====

6.
An optimized crystal structure of LiYTeI2. Source: the Alexandria database, functional PBE.

Results
* energy relative to the elements, uncorrected: -13.209 kcal/mol of atoms
* total energy: -3.497 eV per atom
* symmetry: No. 123

Cell: 5.152 5.152 5.758 Å, 90.00 90.00 90.00°
Fractional positions:
Li 0.000 0.000 0.000
Y 0.500 0.500 0.500
Te 0.000 0.000 0.500
I 0.000 0.500 0.000
I 0.500 0.000 0.000

=====

7.
An optimized crystal structure of LiYTeI2. Source: the Alexandria database, functional PBE.

Results
* energy relative to the elements, uncorrected: -21.138 kcal/mol of atoms
* total energy: -3.841 eV per atom
* symmetry: No. 123

Cell: 6.063 6.063 5.911 Å, 90.00 90.00 90.00°
Fractional positions:
Li 0.000 0.000 0.000
Y 0.500 0.500 0.500
Te 0.500 0.500 0.000
I 0.000 0.500 0.500
I 0.500 0.000 0.500

=====

8.
An optimized crystal structure of LiYTe2I. Source: the Alexandria database, functional PBE.

Results
* energy relative to the elements, uncorrected: -16.188 kcal/mol of atoms
* total energy: -3.944 eV per atom
* symmetry: No. 123

Cell: 5.880 5.880 6.130 Å, 90.00 90.00 90.00°
Fractional positions:
Li 0.000 0.000 0.000
Y 0.500 0.500 0.500
Te 0.000 0.500 0.500
Te 0.500 0.000 0.500
I 0.500 0.500 0.000

=====

9.
An optimized crystal structure of LiYTe2I. Source: the Alexandria database, functional PBE.

Results
* energy relative to the elements, uncorrected: -10.302 kcal/mol of atoms
* total energy: -3.689 eV per atom
* symmetry: No. 123

Cell: 5.175 5.175 5.383 Å, 90.00 90.00 90.00°
Fractional positions:
Li 0.000 0.000 0.000
Y 0.500 0.500 0.500
Te 0.000 0.500 0.000
Te 0.500 0.000 0.000
I 0.000 0.000 0.500

=====

10.
An optimized crystal structure of LiZnTeI2. Source: the Alexandria database, functional PBE.

Results
* energy relative to the elements, uncorrected: -4.424 kcal/mol of atoms
* total energy: -2.078 eV per atom
* symmetry: No. 123

Cell: 5.800 5.800 5.295 Å, 90.00 90.00 90.00°
Fractional positions:
Li 0.000 0.000 0.000
Zn 0.500 0.500 0.500
Te 0.500 0.500 0.000
I 0.000 0.500 0.500
I 0.500 0.000 0.500

=====

11.
An optimized crystal structure of LiZnTeI2. Source: the Alexandria database, functional PBE.

Results
* energy relative to the elements, uncorrected: 2.710 kcal/mol of atoms
* total energy: -1.768 eV per atom
* symmetry: No. 123

Cell: 5.495 5.495 5.270 Å, 90.00 90.00 90.00°
Fractional positions:
Li 0.000 0.000 0.000
Zn 0.500 0.500 0.500
Te 0.000 0.000 0.500
I 0.000 0.500 0.000
I 0.500 0.000 0.000

=====

12.
An optimized crystal structure of LiZrTe2I. Source: the Alexandria database, functional PBE.

Results
* energy relative to the elements, uncorrected: 3.218 kcal/mol of atoms
* total energy: -3.520 eV per atom
* symmetry: No. 123

Cell: 5.061 5.061 5.320 Å, 90.00 90.00 90.00°
Fractional positions:
Li 0.000 0.000 0.000
Zr 0.500 0.500 0.500
Te 0.000 0.500 0.000
Te 0.500 0.000 0.000
I 0.000 0.000 0.500